No. 1
Computed, not measured: Sm2Dy3Ho6Pb after structural relaxation at the PBE level of DFT.

Energy of formation from the pure elements ... -0.06 eV per atom
Spin magnetization ... 0.00 μB/f.u.

The structure in CIF format:
```
data_Sm2Dy3Ho6Pb
_chemical_formula_sum 'Sm4 Dy6 Ho12 Pb2'
_symmetry_space_group_name_H-M 'C 1 2/m 1'
_symmetry_Int_Tables_number 12
_cell_length_a 6.082
_cell_length_b 10.541
_cell_length_c 11.702
_cell_angle_alpha 90.00
_cell_angle_beta 100.03
_cell_angle_gamma 90.00
loop_
_symmetry_equiv_pos_as_xyz
'x,y,z'
'-x,-y,-z'
'-x,y,-z'
'x,-y,z'
'x+1/2,y+1/2,z'
'-x+1/2,-y+1/2,-z'
'-x+1/2,y+1/2,-z'
'x+1/2,-y+1/2,z'
loop_
_atom_site_label
_atom_site_type_symbol
_atom_site_fract_x
_atom_site_fract_y
_atom_site_fract_z
Sm1 Sm 0.000 0.166 0.000
Dy1 Dy 0.000 0.000 0.500
Dy2 Dy 0.000 0.333 0.500
Ho1 Ho 0.245 0.500 0.749
Ho2 Ho 0.247 0.336 0.250
Pb1 Pb 0.000 0.500 0.000
```

=====

No. 2
Computed, not measured: Mg2Ga3Cu after structural relaxation at the PBE level of DFT.

Energy of formation from the pure elements ... -0.13 eV per atom
Spin magnetization ... 0.00 μB/f.u.

The structure in CIF format:
```
data_Mg2Ga3Cu
_chemical_formula_sum 'Mg2 Ga3 Cu1'
_symmetry_space_group_name_H-M 'P m m 2'
_symmetry_Int_Tables_number 25
_cell_length_a 3.172
_cell_length_b 4.389
_cell_length_c 7.614
_cell_angle_alpha 90.00
_cell_angle_beta 90.00
_cell_angle_gamma 90.00
loop_
_symmetry_equiv_pos_as_xyz
'x,y,z'
'-x,-y,z'
'-x,y,z'
'x,-y,z'
loop_
_atom_site_label
_atom_site_type_symbol
_atom_site_fract_x
_atom_site_fract_y
_atom_site_fract_z
Mg1 Mg 0.000 0.000 0.000
Mg2 Mg 0.000 0.500 0.472
Ga1 Ga 0.500 0.000 0.641
Ga2 Ga 0.500 0.500 0.158
Ga3 Ga 0.500 0.500 0.817
Cu1 Cu 0.500 0.000 0.316
```

=====

No. 3
Computed, not measured: YHo4Pu3Se8 after structural relaxation at the PBE level of DFT.

Spin magnetization ... 17.75 μB/f.u.
Energy relative to the elements, uncorrected ... -1686 meV per atom

The structure in CIF format:
```
data_YHo4Pu3Se8
_chemical_formula_sum 'Y3 Ho12 Pu9 Se24'
_symmetry_space_group_name_H-M 'R -3 m'
_symmetry_Int_Tables_number 166
_symmetry_space_group_name_Hall '-R 3 2"'
_cell_length_a 8.1558
_cell_length_b 8.1558
_cell_length_c 20.1711
_cell_angle_alpha 90.00
_cell_angle_beta 90.00
_cell_angle_gamma 120.00
loop_
_atom_site_label
_atom_site_type_symbol
_atom_site_fract_x
_atom_site_fract_y
_atom_site_fract_z
Y1 Y 0.0000 0.0000 0.0000
Ho1 Ho 0.0000 0.0000 0.5000
Ho2 Ho 0.0000 0.5000 0.5000
Pu1 Pu 0.0000 0.5000 0.0000
Se1 Se 0.0000 0.0000 0.2477
Se2 Se 0.0019 0.5009 0.7519
```

=====

No. 4
Computed, not measured: Li2PaPt2 after structural relaxation at the PBE level of DFT.

Energy of formation from the pure elements ... -0.69 eV per atom
Spin magnetization ... 0.00 μB/f.u.
ΔE to the lowest computed polymorph ... 0.000 eV per atom

The structure in CIF format:
```
data_Li2PaPt2
_chemical_formula_sum 'Li4 Pa2 Pt4'
_symmetry_space_group_name_H-M 'I 4/m m m'
_symmetry_Int_Tables_number 139
_symmetry_space_group_name_Hall '-I 4 2'
_cell_length_a 3.661
_cell_length_b 3.661
_cell_length_c 13.632
_cell_angle_alpha 90.00
_cell_angle_beta 90.00
_cell_angle_gamma 90.00
loop_
_atom_site_label
_atom_site_type_symbol
_atom_site_fract_x
_atom_site_fract_y
_atom_site_fract_z
Li1 Li 0.000 0.500 0.250
Pa1 Pa 0.000 0.000 0.000
Pt1 Pt 0.000 0.000 0.397
```

=====

No. 5
Computed, not measured: Th4OsPd3 after structural relaxation at the PBE level of DFT.

Energy of formation from the pure elements ... -0.68 eV per atom
Spin magnetization ... 0.00 μB/f.u.

The structure in CIF format:
```
data_Th4OsPd3
_chemical_formula_sum 'Th4 Os1 Pd3'
_symmetry_space_group_name_H-M 'P m m 2'
_symmetry_Int_Tables_number 25
_cell_length_a 3.888
_cell_length_b 4.505
_cell_length_c 11.151
_cell_angle_alpha 90.00
_cell_angle_beta 90.00
_cell_angle_gamma 90.00
loop_
_symmetry_equiv_pos_as_xyz
'x,y,z'
'-x,-y,z'
'-x,y,z'
'x,-y,z'
loop_
_atom_site_label
_atom_site_type_symbol
_atom_site_fract_x
_atom_site_fract_y
_atom_site_fract_z
Th1 Th 0.000 0.000 0.000
Th2 Th 0.000 0.500 0.261
Th3 Th 0.500 0.000 0.475
Th4 Th 0.500 0.500 0.757
Os1 Os 0.500 0.000 0.219
Pd1 Pd 0.000 0.000 0.717
Pd2 Pd 0.000 0.500 0.536
Pd3 Pd 0.500 0.500 0.026
```

=====

No. 6
Computed, not measured: CrTc2Rh2 after structural relaxation at the PBE level of DFT.

Energy of formation from the pure elements ... 0.34 eV per atom
Spin magnetization ... 0.00 μB/f.u.
ΔE to the lowest computed polymorph ... 0.000 eV per atom

The structure in CIF format:
```
data_CrTc2Rh2
_chemical_formula_sum 'Cr2 Tc4 Rh4'
_symmetry_space_group_name_H-M 'P 4/m b m'
_symmetry_Int_Tables_number 127
_symmetry_space_group_name_Hall '-P 4 2ab'
_cell_length_a 7.437
_cell_length_b 7.437
_cell_length_c 2.685
_cell_angle_alpha 90.00
_cell_angle_beta 90.00
_cell_angle_gamma 90.00
loop_
_atom_site_label
_atom_site_type_symbol
_atom_site_fract_x
_atom_site_fract_y
_atom_site_fract_z
Cr1 Cr 0.000 0.000 0.000
Tc1 Tc 0.174 0.326 0.500
Rh1 Rh 0.124 0.624 0.000
```

=====

No. 7
Computed, not measured: NbVPd4 after structural relaxation at the PBE level of DFT.

Energy of formation from the pure elements ... 0.27 eV per atom
Spin magnetization ... 2.18 μB/f.u.
ΔE to the lowest computed polymorph ... 0.612 eV per atom

The structure in CIF format:
```
data_NbVPd4
_chemical_formula_sum 'Nb2 V2 Pd8'
_symmetry_space_group_name_H-M 'C m m m'
_symmetry_Int_Tables_number 65
_symmetry_space_group_name_Hall '-C 2 2'
_cell_length_a 7.278
_cell_length_b 7.797
_cell_length_c 3.870
_cell_angle_alpha 90.00
_cell_angle_beta 90.00
_cell_angle_gamma 90.00
loop_
_atom_site_label
_atom_site_type_symbol
_atom_site_fract_x
_atom_site_fract_y
_atom_site_fract_z
Nb1 Nb 0.000 0.000 0.000
V1 V 0.000 0.500 0.000
Pd1 Pd 0.245 0.500 0.500
Pd2 Pd 0.250 0.250 0.000
```

=====

No. 8
Computed, not measured: Li2Tb5Tl4 after structural relaxation at the PBE level of DFT.

Energy of formation from the pure elements ... -0.17 eV per atom
Spin magnetization ... 0.24 μB/f.u.

The structure in CIF format:
```
data_Li2Tb5Tl4
_chemical_formula_sum 'Li2 Tb5 Tl4'
_symmetry_space_group_name_H-M 'P 1 2/m 1'
_symmetry_Int_Tables_number 10
_cell_length_a 8.472
_cell_length_b 3.360
_cell_length_c 10.129
_cell_angle_alpha 90.00
_cell_angle_beta 96.50
_cell_angle_gamma 90.00
loop_
_symmetry_equiv_pos_as_xyz
'x,y,z'
'-x,-y,-z'
'-x,y,-z'
'x,-y,z'
loop_
_atom_site_label
_atom_site_type_symbol
_atom_site_fract_x
_atom_site_fract_y
_atom_site_fract_z
Li1 Li 0.069 0.000 0.123
Tb1 Tb 0.150 0.000 0.643
Tb2 Tb 0.448 0.000 0.165
Tb3 Tb 0.500 0.000 0.500
Tl1 Tl 0.198 0.500 0.356
Tl2 Tl 0.238 0.500 0.924
```

=====

No. 9
Computed, not measured: BaIr2Os after structural relaxation at the PBE level of DFT.

Energy of formation from the pure elements ... 0.58 eV per atom
Spin magnetization ... 0.00 μB/f.u.
ΔE to the lowest computed polymorph ... 0.458 eV per atom

The structure in CIF format:
```
data_BaIr2Os
_chemical_formula_sum 'Ba1 Ir2 Os1'
_symmetry_space_group_name_H-M 'P m m 2'
_symmetry_Int_Tables_number 25
_cell_length_a 2.861
_cell_length_b 3.755
_cell_length_c 7.567
_cell_angle_alpha 90.00
_cell_angle_beta 90.00
_cell_angle_gamma 90.00
loop_
_symmetry_equiv_pos_as_xyz
'x,y,z'
'-x,-y,z'
'-x,y,z'
'x,-y,z'
loop_
_atom_site_label
_atom_site_type_symbol
_atom_site_fract_x
_atom_site_fract_y
_atom_site_fract_z
Ba1 Ba 0.000 0.000 0.000
Ir1 Ir 0.000 0.000 0.504
Ir2 Ir 0.500 0.500 0.312
Os1 Os 0.500 0.500 0.657
```

=====

No. 10
Computed, not measured: LiSi2Pb2 after structural relaxation at the PBE level of DFT.

Spin magnetization ... 0.00 μB/f.u.
ΔE to the lowest computed polymorph ... 0.044 eV per atom
Energy relative to the elements, uncorrected ... 192 meV per atom

The structure in CIF format:
```
data_LiSi2Pb2
_chemical_formula_sum 'Li2 Si4 Pb4'
_symmetry_space_group_name_H-M 'P 4/m b m'
_symmetry_Int_Tables_number 127
_symmetry_space_group_name_Hall '-P 4 2ab'
_cell_length_a 7.142
_cell_length_b 7.142
_cell_length_c 4.572
_cell_angle_alpha 90.00
_cell_angle_beta 90.00
_cell_angle_gamma 90.00
loop_
_atom_site_label
_atom_site_type_symbol
_atom_site_fract_x
_atom_site_fract_y
_atom_site_fract_z
Li1 Li 0.000 0.000 0.000
Si1 Si 0.117 0.383 0.000
Pb1 Pb 0.188 0.688 0.500
```

=====

Number 1: density 8924 kg/m3, E_tot -4.60 eV per atom. Number 2: density 5034 kg/m3, E_tot -2.86 eV per atom. Number 3: density 9056 kg/m3, E_tot -7.66 eV per atom. Number 4: density 11546 kg/m3, E_tot -5.78 eV per atom. Number 5: density 12220 kg/m3, E_tot -7.74 eV per atom. Number 6: density 10151 kg/m3, E_tot -8.67 eV per atom. Number 7: density 8614 kg/m3, E_tot -6.39 eV per atom. Number 8: density 9424 kg/m3, E_tot -3.49 eV per atom. Number 9: density 14545 kg/m3, E_tot -7.14 eV per atom. Number 10: density 6802 kg/m3, E_tot -3.84 eV per atom.